Compound: Na2FeTcSe6
Source: the Open Quantum Materials Database
Functional: PBE-GGA
Structure: optimized geometry

```
Na2FeTcSe6
1.0
-3.123 3.123 5.576
3.123 -3.123 5.576
3.123 3.123 -5.576
Na Fe Tc Se
2 1 1 6
Direct
0.250 0.750 0.500
0.750 0.250 0.500
0.000 0.000 0.000
0.500 0.500 0.000
0.135 0.650 0.785
0.265 0.265 0.000
0.350 0.135 0.486
0.650 0.865 0.514
0.735 0.735 0.000
0.865 0.350 0.215
```

Properties
The electronic total energy is -45.58 eV per cell. The value obtained for the mass density is 5.1 g/cm³. For the size of the total moment, the calculation gives 2.01 μB/cell.